a) Compound: YReAg2
Source: the Alexandria database
Functional: GGA-PBE
Structure: relaxed

```
4
Lattice="1.4680 0.8476 10.1430 -1.4680 0.8476 10.1430 0.0000 -1.6951 10.1430" Properties=species:S:1:pos:R:3 pbc="T T T"
Y 0.0000 0.0000 0.0000
Re 0.0000 0.0000 15.2144
Ag 0.0000 0.0000 7.4264
Ag 0.0000 0.0000 23.0024
```

Properties
space-group type: R-3m, No. 166
mass density: 10.76 Mg/m³

b) Compound: YReAg2
Source: the Alexandria database
Functional: GGA-PBE
Structure: relaxed

```
4
Lattice="-1.5259 2.5549 4.9526 1.5259 -2.5549 4.9526 1.5259 2.5549 -4.9526" Properties=species:S:1:pos:R:3 pbc="T T T"
Y 0.0000 0.0000 0.0000
Re 0.0000 2.5549 2.4525
Ag 1.5259 0.0000 2.6683
Ag 0.0000 0.0000 5.0576
```

Properties
space-group type: Imm2, No. 44
mass density: 10.55 Mg/m³

Relative energies in kJ/mol of atoms: a) 14.6; b) 0.0

a) Compound: BC2
Source: the Alexandria database
Functional: GGA-PBE
Structure: relaxed

```
12
Lattice="3.7191 0.0000 0.0000 1.8325 4.2741 0.0000 0.0799 1.8910 4.8293" Properties=species:S:1:pos:R:3 pbc="T T T"
B 0.0000 0.0000 0.0000
B 0.1436 1.1674 2.6744
B 0.9871 3.4131 4.5794
B 2.5882 0.6687 1.1923
C 0.9418 2.4303 2.1229
C 1.8306 2.0002 0.9714
C 1.8583 2.8028 3.3171
C 2.7862 4.0600 2.9265
C 2.7752 3.1303 0.5196
C 3.6891 4.5875 4.1253
C 3.6871 3.5887 1.7158
C 2.6915 1.5484 3.6910
```

Properties
space-group type: P1, No. 1
mass density: 3.01 Mg/m³

b) Compound: BC2
Source: the Alexandria database
Functional: GGA-PBE
Structure: relaxed

```
12
Lattice="6.1566 -1.2494 0.0000 6.1566 1.2494 0.0000 -1.0391 0.0000 4.9675" Properties=species:S:1:pos:R:3 pbc="T T T"
B 0.0000 0.0000 0.0000
B -0.4014 0.0000 2.7004
B 1.0028 0.0000 1.5043
B 4.5524 0.0000 2.3279
C 0.4916 0.0000 4.0708
C 3.3979 0.0000 3.4104
C 3.9898 0.0000 0.8532
C 4.0488 0.0000 4.7769
C 7.4976 0.0000 4.2537
C 8.1443 0.0000 1.7602
C 8.6735 0.0000 3.2006
C 9.2406 0.0000 0.6879
```

Properties
space-group type: Cm, No. 8
mass density: 3.03 Mg/m³

Relative energies in kJ/mol of atoms: a) 3.0; b) 0.0

a) Compound: SrZn2Mo
Source: the Alexandria database
Functional: GGA-PBE
Structure: relaxed

```
8
Lattice="-2.4462 2.4462 9.2472 2.4462 -2.4462 9.2472 2.4462 2.4462 -9.2472" Properties=species:S:1:pos:R:3 pbc="T T T"
Sr 0.0000 0.0000 0.0000
Sr 0.0000 2.4462 4.6236
Zn 1.2231 -0.0312 6.9354
Zn 2.4150 1.2231 2.3118
Zn 1.2231 2.4774 -2.3118
Zn 0.0312 1.2231 11.5590
Mo 2.4462 0.0000 4.6236
Mo 0.0000 0.0000 9.2472
```

Properties
space-group type: I-42d, No. 122
mass density: 4.72 Mg/m³

b) Compound: SrZn2Mo
Source: the Alexandria database
Functional: GGA-PBE
Structure: relaxed

```
4
Lattice="-1.4977 2.5936 5.0799 1.4977 -2.5936 5.0799 1.4977 2.5936 -5.0799" Properties=species:S:1:pos:R:3 pbc="T T T"
Sr 0.0000 0.0000 0.0000
Zn 1.4977 0.0000 2.7741
Zn 0.0000 0.0000 5.0066
Mo 0.0000 2.5936 2.1834
```

Properties
space-group type: Imm2, No. 44
mass density: 6.61 Mg/m³

Relative energies in kJ/mol of atoms: a) 16.7; b) 0.0

a) Compound: MgP
Source: the Alexandria database
Functional: GGA-PBE
Structure: relaxed

```
2
Lattice="0.0000 2.6662 2.6662 2.6662 0.0000 2.6662 2.6662 2.6662 0.0000" Properties=species:S:1:pos:R:3 pbc="T T T"
Mg 0.0000 0.0000 0.0000
P 2.6662 2.6662 2.6662
```

Properties
space-group type: Fm-3m, No. 225
mass density: 2.42 Mg/m³

b) Compound: MgP
Source: the Alexandria database
Functional: GGA-PBE
Structure: relaxed

```
8
Lattice="-4.0259 4.0259 4.0259 4.0259 -4.0259 4.0259 4.0259 4.0259 -4.0259" Properties=species:S:1:pos:R:3 pbc="T T T"
Mg 2.8093 2.8093 -2.8093
Mg 2.8093 -2.8093 2.8093
Mg 1.2166 1.2166 1.2166
Mg -2.8093 2.8093 2.8093
P 1.3580 1.3580 -1.3580
P 1.3580 -1.3580 1.3580
P -1.3580 1.3580 1.3580
P 2.6679 2.6679 2.6679
```

Properties
space-group type: I-43m, No. 217
mass density: 1.41 Mg/m³

Relative energies in kJ/mol of atoms: a) 0.0; b) 31.3